# CuBPb

A relaxed CuBPb crystal (PBE, Alexandria).

Output
**Volume**: 109.84 Å³ per cell
**ΔE_f**: 0.83 eV/atom

The structure in CIF format:
```
data_CuBPb
_symmetry_space_group_name_H-M 'P 63/m m c'
_symmetry_Int_Tables_number 194
_symmetry_space_group_name_Hall '-P 6c 2c'
_cell_length_a 3.5351
_cell_length_b 3.5351
_cell_length_c 10.1491
_cell_angle_alpha 90.00
_cell_angle_beta 90.00
_cell_angle_gamma 120.00
loop_
_atom_site_label
_atom_site_type_symbol
_atom_site_fract_x
_atom_site_fract_y
_atom_site_fract_z
_atom_site_occupancy
Cu1 Cu 0.3333 0.6667 0.2500 1
B1 B 0.0000 0.0000 0.2500 1
Pb1 Pb 0.0000 0.0000 0.0000 1
```

# CuBPb

A relaxed CuBPb crystal (PBE, Alexandria).

Output
**Volume**: 104.86 Å³ per cell
**ΔE_f**: 1.26 eV/atom

The structure in CIF format:
```
data_CuBPb
_symmetry_space_group_name_H-M 'P 63/m m c'
_symmetry_Int_Tables_number 194
_symmetry_space_group_name_Hall '-P 6c 2c'
_cell_length_a 4.0282
_cell_length_b 4.0282
_cell_length_c 7.4621
_cell_angle_alpha 90.00
_cell_angle_beta 90.00
_cell_angle_gamma 120.00
loop_
_atom_site_label
_atom_site_type_symbol
_atom_site_fract_x
_atom_site_fract_y
_atom_site_fract_z
_atom_site_occupancy
Cu1 Cu 0.0000 0.0000 0.0000 1
B1 B 0.3333 0.6667 0.2500 1
Pb1 Pb 0.3333 0.6667 0.7500 1
```

# CuBPb

A relaxed CuBPb crystal (PBE, Alexandria).

Output
**Volume**: 103.37 Å³ per cell
**ΔE_f**: 0.30 eV/atom

The structure in CIF format:
```
data_CuBPb
_symmetry_space_group_name_H-M 'P 1'
_symmetry_Int_Tables_number 1
_cell_length_a 3.189
_cell_length_b 4.022
_cell_length_c 8.125
_cell_angle_alpha 83.72
_cell_angle_beta 86.20
_cell_angle_gamma 89.92
loop_
_symmetry_equiv_pos_as_xyz
'x,y,z'
loop_
_atom_site_label
_atom_site_type_symbol
_atom_site_fract_x
_atom_site_fract_y
_atom_site_fract_z
_atom_site_occupancy
Cu1 Cu 0.000 0.000 0.000 1
Cu2 Cu 0.471 0.752 0.218 1
B1 B 0.483 0.292 0.115 1
B2 B 0.987 0.462 0.102 1
Pb1 Pb 0.049 0.175 0.438 1
Pb2 Pb 0.407 0.576 0.778 1
```

# CuBPb

A relaxed CuBPb crystal (PBE, Alexandria).

Output
**Volume**: 113.78 Å³ per cell
**ΔE_f**: 0.39 eV/atom

The structure in CIF format:
```
data_CuBPb
_symmetry_space_group_name_H-M 'P 1'
_symmetry_Int_Tables_number 1
_cell_length_a 3.923
_cell_length_b 5.143
_cell_length_c 6.494
_cell_angle_alpha 108.06
_cell_angle_beta 99.47
_cell_angle_gamma 107.65
loop_
_symmetry_equiv_pos_as_xyz
'x,y,z'
loop_
_atom_site_label
_atom_site_type_symbol
_atom_site_fract_x
_atom_site_fract_y
_atom_site_fract_z
_atom_site_occupancy
Cu1 Cu 0.000 0.000 0.000 1
Cu2 Cu 0.001 0.500 0.000 1
B1 B 0.430 0.835 0.999 1
B2 B 0.570 0.166 0.001 1
Pb1 Pb 0.342 0.330 0.668 1
Pb2 Pb 0.661 0.672 0.332 1
```

Which of these has the lowest ΔE_f? number 3